(1)
The following is a DFT calculation (PBE) of a relaxed Y5Ho7 crystal.

Computed properties:
Its crystal system is monoclinic. The value obtained for the electronic total energy is -61.98 eV for the cell shown. The value obtained for the formation energy is 199 meV per atom.

a b c (Å): 5.665 5.572 14.617
angles (deg): 101.04 90.00 120.55
Fractional coordinates of all 12 atoms:
Y  0.000  0.000  0.000
Y  0.617  0.233  0.805
Y  0.144  0.288  0.439
Y  0.383  0.767  0.195
Y  0.856  0.712  0.561
Ho  0.765  0.529  0.326
Ho  0.687  0.374  0.080
Ho  0.948  0.895  0.788
Ho  0.052  0.105  0.212
Ho  0.313  0.626  0.920
Ho  0.235  0.471  0.674
Ho  0.500  0.000  0.500

=====

(2)
The following is a DFT calculation (PBE) of a relaxed YHo7 crystal.

Computed properties:
Its crystal system is cubic. The value obtained for the electronic total energy is -38.32 eV for the cell shown. The value obtained for the formation energy is 23 meV per atom.

a b c (Å): 7.056 7.056 7.056
angles (deg): 60.00 60.00 60.00
Fractional coordinates of all 8 atoms:
Ho  0.000  0.500  0.000
Ho  0.500  0.000  0.000
Ho  0.500  0.000  0.500
Ho  0.000  0.000  0.500
Ho  0.500  0.500  0.500
Ho  0.500  0.500  0.000
Ho  0.000  0.500  0.500
Y  0.000  0.000  0.000